No. 1
Computed, not measured: crystalline BaTlFeBr5 at its relaxed geometry at the PBE level of DFT.

a b c (Å): 8.199 8.199 11.220
angles (deg): 103.63 103.63 105.86
Each line ends with the local moment (μB).
Positions (direct):
Br 0.071 0.652 0.840  0.07
Br 0.724 0.585 0.426  0.07
Br 0.111 0.889 0.250  0.00
Br 0.276 0.415 0.574  0.07
Ba 0.000 0.000 0.500  0.01
Fe 0.318 0.682 0.750  3.38
Tl 0.356 0.644 0.250  0.01
Tl 0.644 0.356 0.750  0.01
Fe 0.682 0.318 0.250  3.38
Br 0.889 0.111 0.750  0.00
Br 0.348 0.929 0.660  0.07
Br 0.585 0.724 0.926  0.07
Ba 0.000 0.000 0.000  0.01
Br 0.652 0.071 0.340  0.07
Br 0.415 0.276 0.074  0.07
Br 0.929 0.348 0.160  0.07

Summary:
Symmetry ... C2/c
Formation energy without anion corrections ... -1.15 eV/atom
Final energy ... -3.791 eV per atom


No. 2
Computed, not measured: crystalline HoGaAg4 at its relaxed geometry at the PBE level of DFT.

a b c (Å): 5.046 5.046 10.040
angles (deg): 104.95 104.93 90.04
Positions (direct):
Ho 0.750 0.750 0.000
Ag 0.655 0.156 0.813
Ag 0.925 0.926 0.343
Ga 0.500 0.000 0.500
Ag 0.156 0.654 0.813
Ag 0.075 0.074 0.657
Ga 0.000 0.500 0.500
Ag 0.345 0.844 0.187
Ho 0.250 0.250 0.000
Ag 0.844 0.346 0.187
Ag 0.424 0.424 0.343
Ag 0.576 0.576 0.657

Summary:
Symmetry ... C2/m
DFT formation energy ... -0.112 eV/atom
Final energy ... -3.280 eV per atom


No. 3
Computed, not measured: crystalline Mo3N2Cl11 at its relaxed geometry at the PBE level of DFT.

a b c (Å): 10.643 13.598 14.212
angles (deg): 90.00 90.00 90.00
Each line ends with the local moment (μB).
Positions (direct):
Cl 0.424 0.406 0.241  0.00
Cl 0.366 0.510 0.498  -0.01
N 0.253 0.111 0.145  -0.03
Cl 0.940 0.573 0.989  0.05
Cl 0.634 0.010 0.498  -0.01
Cl 0.056 0.517 0.715  -0.01
Cl 0.333 0.866 0.388  0.00
N 0.703 0.107 0.674  -0.03
Mo 0.385 0.684 0.741  0.11
Mo 0.296 0.223 0.187  0.12
Cl 0.494 0.768 0.604  0.00
Mo 0.615 0.316 0.241  0.11
Cl 0.742 0.320 0.737  0.01
Cl 0.576 0.594 0.741  0.00
Cl 0.136 0.246 0.788  0.00
Mo 0.704 0.723 0.187  0.12
Cl 0.742 0.180 0.237  0.01
Cl 0.424 0.094 0.741  0.00
N 0.747 0.611 0.145  -0.03
Mo 0.296 0.277 0.687  0.12
Cl 0.258 0.820 0.737  0.01
Cl 0.772 0.681 0.566  0.01
Cl 0.110 0.836 0.021  0.04
N 0.703 0.393 0.174  -0.03
Cl 0.772 0.819 0.066  0.01
N 0.747 0.889 0.645  -0.03
Cl 0.864 0.746 0.788  0.00
Cl 0.568 0.827 0.812  0.01
Cl 0.432 0.327 0.812  0.01
Cl 0.940 0.927 0.489  0.05
Cl 0.228 0.181 0.566  0.01
Cl 0.060 0.073 0.989  0.05
Mo 0.815 0.020 0.585  0.69
Cl 0.634 0.490 0.998  -0.01
Mo 0.185 0.980 0.085  0.69
Cl 0.667 0.366 0.388  0.00
Cl 0.136 0.254 0.288  0.00
N 0.297 0.893 0.174  -0.03
Cl 0.568 0.673 0.312  0.01
Cl 0.944 0.017 0.715  -0.01
Mo 0.815 0.480 0.085  0.69
Cl 0.576 0.906 0.241  0.00
N 0.297 0.607 0.674  -0.03
Mo 0.615 0.184 0.741  0.11
Cl 0.056 0.983 0.215  -0.01
Cl 0.366 0.990 0.998  -0.01
Cl 0.506 0.232 0.104  0.00
Cl 0.864 0.754 0.288  0.00
Cl 0.944 0.483 0.215  -0.01
Cl 0.667 0.134 0.888  0.00
Mo 0.385 0.816 0.241  0.11
Cl 0.890 0.164 0.521  0.04
Cl 0.506 0.268 0.604  0.00
Mo 0.704 0.777 0.687  0.12
Cl 0.432 0.173 0.312  0.01
Cl 0.228 0.319 0.066  0.01
Cl 0.494 0.732 0.104  0.00
Cl 0.258 0.680 0.237  0.01
Cl 0.890 0.336 0.021  0.04
Cl 0.060 0.427 0.489  0.05
Cl 0.110 0.664 0.521  0.04
Mo 0.185 0.520 0.585  0.69
N 0.253 0.389 0.645  -0.03
Cl 0.333 0.634 0.888  0.00

Summary:
Symmetry ... Pca2_1
Formation energy without anion corrections ... -0.72 eV/atom
Final energy ... -5.065 eV per atom


No. 4
Computed, not measured: crystalline BaBiPO2 at its relaxed geometry at the PBE level of DFT.

a b c (Å): 4.509 4.509 5.237
angles (deg): 90.00 90.00 90.00
Positions (direct):
O 0.500 0.000 0.000
P 0.000 0.000 0.500
Ba 0.500 0.500 0.500
O 0.000 0.500 0.000
Bi 0.000 0.000 0.000

Summary:
Symmetry ... P4/mmm
Formation energy without anion corrections ... -0.87 eV/atom
Final energy ... -5.099 eV per atom


No. 5
Computed, not measured: crystalline BeRe2Pb at its relaxed geometry at the PBE level of DFT.

a b c (Å): 3.105 3.105 6.594
angles (deg): 90.00 90.00 90.00
Positions (direct):
Re 0.000 0.000 0.049
Pb 0.500 0.500 0.738
Be 0.000 0.000 0.423
Re 0.500 0.500 0.289

Summary:
Symmetry ... P4mm
DFT formation energy ... 0.325 eV/atom
Final energy ... -7.757 eV per atom


No. 6
Computed, not measured: crystalline Dy2YEr3Tm6 at its relaxed geometry at the PBE level of DFT.

a b c (Å): 6.074 6.074 11.624
angles (deg): 94.99 94.99 119.93
Positions (direct):
Y 0.000 0.000 0.000
Er 0.167 0.833 0.500
Er 0.833 0.167 0.500
Tm 0.582 0.916 0.749
Dy 0.333 0.667 0.000
Tm 0.250 0.250 0.749
Tm 0.750 0.750 0.251
Tm 0.418 0.084 0.251
Er 0.500 0.500 0.500
Tm 0.084 0.418 0.251
Tm 0.916 0.582 0.749
Dy 0.667 0.333 0.000

Summary:
Symmetry ... C2/m
DFT formation energy ... 0.025 eV/atom
Final energy ... -4.657 eV per atom


No. 7
Computed, not measured: crystalline Bi3Sb5Pb4O21 at its relaxed geometry at the PBE level of DFT.

a b c (Å): 7.443 7.455 10.182
angles (deg): 89.52 89.45 60.56
Positions (direct):
O 0.207 0.202 0.046
Sb 0.667 0.664 0.303
Pb 0.155 0.169 0.335
Bi 0.840 0.287 0.634
Pb 0.824 0.822 0.682
O 0.481 0.462 0.805
Sb 0.506 0.501 0.998
O 0.936 0.542 0.196
O 0.209 0.595 0.593
Sb 0.504 0.999 0.001
Sb 0.338 0.334 0.701
O 0.409 0.788 0.410
O 0.597 0.203 0.046
O 0.541 0.531 0.192
O 0.540 0.925 0.192
Pb 0.007 0.000 0.999
O 0.472 0.071 0.811
O 0.032 0.993 0.502
Bi 0.297 0.849 0.639
O 0.997 0.996 0.755
O 0.796 0.795 0.412
Sb 0.006 0.500 0.003
O 0.208 0.596 0.042
O 0.408 0.798 0.957
O 0.599 0.199 0.593
O 0.981 0.005 0.242
O 0.077 0.469 0.811
Bi 0.118 0.720 0.356
O 0.207 0.201 0.599
Pb 0.641 0.186 0.319
O 0.805 0.403 0.961
O 0.801 0.797 0.955
O 0.795 0.400 0.408

Summary:
Symmetry ... P1
Formation energy without anion corrections ... -1.36 eV/atom
Final energy ... -5.942 eV per atom


No. 8
Computed, not measured: crystalline Ru3Se2 at its relaxed geometry at the PBE level of DFT.

a b c (Å): 9.998 9.998 9.998
angles (deg): 17.16 17.16 17.16
Positions (direct):
Se 0.601 0.601 0.601
Ru 0.202 0.202 0.202
Ru 0.798 0.798 0.798
Se 0.399 0.399 0.399
Ru 0.000 0.000 0.000

Summary:
Symmetry ... R-3m
Formation energy without anion corrections ... 0.28 eV/atom
Final energy ... -6.678 eV per atom


No. 9
Computed, not measured: crystalline Zr2PtW at its relaxed geometry at the PBE level of DFT.

a b c (Å): 2.869 2.869 9.205
angles (deg): 90.00 90.00 90.00
Positions (direct):
Zr 0.500 0.500 0.280
Pt 0.000 0.000 0.519
Zr 0.000 0.000 0.977
W 0.500 0.500 0.725

Summary:
Symmetry ... P4mm
DFT formation energy ... -0.143 eV/atom
Final energy ... -9.165 eV per atom


No. 10
Computed, not measured: crystalline La2CeCo2 at its relaxed geometry at the PBE level of DFT.

a b c (Å): 3.810 6.873 9.647
angles (deg): 86.65 78.61 73.91
Positions (direct):
Ce 0.795 0.067 0.344
La 0.530 0.616 0.323
La 0.664 0.734 0.938
Co 0.025 0.083 0.867
La 0.470 0.384 0.677
Co 0.861 0.708 0.569
Ce 0.205 0.933 0.656
La 0.336 0.266 0.062
Co 0.975 0.917 0.133
Co 0.139 0.292 0.431

Summary:
Symmetry ... C2/m
DFT formation energy ... -0.154 eV/atom
Final energy ... -6.154 eV per atom


No. 11
Computed, not measured: crystalline Cs2HgGe2Br6 at its relaxed geometry at the PBE level of DFT.

a b c (Å): 7.502 7.695 10.279
angles (deg): 96.12 90.00 119.17
Positions (direct):
Br 0.148 0.296 0.278
Br 0.654 0.808 0.170
Hg 0.500 0.000 0.500
Ge 0.029 0.058 0.679
Br 0.346 0.192 0.830
Ge 0.971 0.942 0.321
Cs 0.347 0.694 0.843
Br 0.846 0.192 0.830
Br 0.852 0.704 0.722
Cs 0.653 0.306 0.157
Br 0.154 0.808 0.170

Summary:
Symmetry ... C2/m
Formation energy without anion corrections ... -0.95 eV/atom
Final energy ... -2.884 eV per atom


No. 12
Computed, not measured: crystalline RbSnPI2 at its relaxed geometry at the PBE level of DFT.

a b c (Å): 6.647 6.164 6.647
angles (deg): 90.00 90.00 90.00
Each line ends with the local moment (μB).
Positions (direct):
Sn 0.500 0.500 0.500  -0.36
P 0.000 0.500 0.000  1.10
I 0.000 0.000 0.500  0.07
Rb 0.000 0.000 0.000  0.04
I 0.500 0.000 0.000  0.07

Summary:
Symmetry ... P4/mmm
Formation energy without anion corrections ... 0.63 eV/atom
Final energy ... -2.069 eV per atom


Repeat the seventh record exactly.
Computed, not measured: crystalline Bi3Sb5Pb4O21 at its relaxed geometry at the PBE level of DFT.

a b c (Å): 7.443 7.455 10.182
angles (deg): 89.52 89.45 60.56
Positions (direct):
O 0.207 0.202 0.046
Sb 0.667 0.664 0.303
Pb 0.155 0.169 0.335
Bi 0.840 0.287 0.634
Pb 0.824 0.822 0.682
O 0.481 0.462 0.805
Sb 0.506 0.501 0.998
O 0.936 0.542 0.196
O 0.209 0.595 0.593
Sb 0.504 0.999 0.001
Sb 0.338 0.334 0.701
O 0.409 0.788 0.410
O 0.597 0.203 0.046
O 0.541 0.531 0.192
O 0.540 0.925 0.192
Pb 0.007 0.000 0.999
O 0.472 0.071 0.811
O 0.032 0.993 0.502
Bi 0.297 0.849 0.639
O 0.997 0.996 0.755
O 0.796 0.795 0.412
Sb 0.006 0.500 0.003
O 0.208 0.596 0.042
O 0.408 0.798 0.957
O 0.599 0.199 0.593
O 0.981 0.005 0.242
O 0.077 0.469 0.811
Bi 0.118 0.720 0.356
O 0.207 0.201 0.599
Pb 0.641 0.186 0.319
O 0.805 0.403 0.961
O 0.801 0.797 0.955
O 0.795 0.400 0.408

Summary:
Symmetry ... P1
Formation energy without anion corrections ... -1.36 eV/atom
Final energy ... -5.942 eV per atom